1 | Entry from Alexandria: an optimized crystal structure of FeBi3N (PBE).

Results
DOS(E_F)   3.03 states/eV per atom
Space group   Pm-3m

Cell and atoms, written as POSCAR:
```
FeBi3N
1.0
4.8421 0.0000 0.0000
0.0000 4.8421 0.0000
0.0000 0.0000 4.8421
Fe Bi N
1 3 1
direct
0.0000 0.0000 0.0000 Fe
0.0000 0.5000 0.5000 Bi
0.5000 0.0000 0.5000 Bi
0.5000 0.5000 0.0000 Bi
0.5000 0.5000 0.5000 N
```



2 | Entry from Alexandria: an optimized crystal structure of FeBi3N (PBE).

Results
DOS(E_F)   0.92 states/eV per atom
Space group   Pm-3m

Cell and atoms, written as POSCAR:
```
FeBi3N
1.0
4.9821 0.0000 0.0000
0.0000 4.9821 0.0000
0.0000 0.0000 4.9821
Fe Bi N
1 3 1
direct
0.0000 0.0000 0.0000 Fe
0.0000 0.0000 0.5000 Bi
0.0000 0.5000 0.0000 Bi
0.5000 0.0000 0.0000 Bi
0.5000 0.5000 0.5000 N
```



How far above the most stable structure does each one sit? In meV/atom: 1 0; 2 267.



1 | Entry from Alexandria: an optimized crystal structure of FeBiS2N (PBE).

Results
DOS(E_F)   0.88 states/eV per atom
Space group   P4/mmm

Cell and atoms, written as POSCAR:
```
FeBiS2N
1.0
4.8046 0.0000 0.0000
0.0000 4.8046 0.0000
0.0000 0.0000 3.5042
Fe Bi S N
1 1 2 1
direct
0.0000 0.0000 0.0000 Fe
0.5000 0.5000 0.5000 Bi
0.0000 0.5000 0.0000 S
0.5000 0.0000 0.0000 S
0.0000 0.0000 0.5000 N
```



2 | Entry from Alexandria: an optimized crystal structure of FeBiS2N (PBE).

Results
DOS(E_F)   1.93 states/eV per atom
Space group   P4/mmm

Cell and atoms, written as POSCAR:
```
FeBiS2N
1.0
5.2296 0.0000 0.0000
0.0000 5.2296 0.0000
0.0000 0.0000 4.2059
Fe Bi S N
1 1 2 1
direct
0.0000 0.0000 0.0000 Fe
0.5000 0.5000 0.5000 Bi
0.0000 0.5000 0.5000 S
0.5000 0.0000 0.5000 S
0.5000 0.5000 0.0000 N
```



How far above the most stable structure does each one sit? In meV/atom: 1 0; 2 1266.



1 | Entry from Alexandria: an optimized crystal structure of FeBiTe2N (PBE).

Results
DOS(E_F)   2.26 states/eV per atom
Space group   P4/mmm

Cell and atoms, written as POSCAR:
```
FeBiTe2N
1.0
5.9301 0.0000 0.0000
0.0000 5.9301 0.0000
0.0000 0.0000 4.2679
Fe Bi Te N
1 1 2 1
direct
0.0000 0.0000 0.0000 Fe
0.5000 0.5000 0.5000 Bi
0.0000 0.5000 0.5000 Te
0.5000 0.0000 0.5000 Te
0.5000 0.5000 0.0000 N
```



2 | Entry from Alexandria: an optimized crystal structure of FeBiTe2N (PBE).

Results
DOS(E_F)   0.58 states/eV per atom
Space group   P4/mmm

Cell and atoms, written as POSCAR:
```
FeBiTe2N
1.0
5.4753 0.0000 0.0000
0.0000 5.4753 0.0000
0.0000 0.0000 3.5304
Fe Bi Te N
1 1 2 1
direct
0.0000 0.0000 0.0000 Fe
0.5000 0.5000 0.5000 Bi
0.0000 0.5000 0.0000 Te
0.5000 0.0000 0.0000 Te
0.0000 0.0000 0.5000 N
```



How far above the most stable structure does each one sit? In meV/atom: 1 1247; 2 0.